Entry 1:
The following is a GGA-PBE calculation of a relaxed structure of BaLa2MgOs, from Alexandria via LeMat-Bulk.

Structure (POSCAR):
```
BaLa2MgOs
1.0
5.562 0.000 0.000
0.000 5.562 0.000
0.000 0.000 6.287
Ba La Mg Os
1 2 1 1
Direct
0.000 0.000 0.000
0.000 0.500 0.500
0.500 0.000 0.500
0.500 0.500 0.000
0.000 0.000 0.500
```

- D(E_F) (states/eV per cell) = 3.26
- formation energy (eV per atom) = 0.082
- excess energy over the best structure of this formula in the dataset (meV per atom) = 101

Entry 2:
The following is a GGA-PBE calculation of a relaxed structure of TbHoNp2As4, from Alexandria via LeMat-Bulk.

Structure (POSCAR):
```
TbHoNp2As4
1.0
7.110 0.000 0.000
0.000 4.103 0.000
-2.369 0.000 6.731
Tb Ho Np As
1 1 2 4
Direct
0.000 0.000 0.000
0.500 0.500 0.000
0.000 0.500 0.500
0.500 0.000 0.500
0.251 0.000 0.748
0.252 0.500 0.253
0.748 0.500 0.747
0.749 0.000 0.252
```

- D(E_F) (states/eV per cell) = 18.85
- formation energy (eV per atom) = -1.104

Entry 3:
The following is a GGA-PBE calculation of a relaxed structure of LiTe2PdN, from Alexandria via LeMat-Bulk.

Structure (POSCAR):
```
LiTe2PdN
1.0
5.148 0.000 0.000
0.000 5.148 0.000
0.000 0.000 3.386
Li Te Pd N
1 2 1 1
Direct
0.000 0.000 0.000
0.000 0.500 0.000
0.500 0.000 0.000
0.500 0.500 0.500
0.000 0.000 0.500
```

- D(E_F) (states/eV per cell) = 3.90
- excess energy over the best structure of this formula in the dataset (meV per atom) = 398
- formation energy without anion corrections (meV per atom) = 732.6

Entry 4:
The following is a GGA-PBE calculation of a relaxed structure of PmHoHg2, from Alexandria via LeMat-Bulk.

Structure (POSCAR):
```
PmHoHg2
1.0
0.000 3.763 3.763
3.763 0.000 3.763
3.763 3.763 0.000
Pm Ho Hg
1 1 2
Direct
0.000 0.000 0.000
0.500 0.500 0.500
0.250 0.250 0.250
0.750 0.750 0.750
```

- D(E_F) (states/eV per cell) = 4.36
- formation energy (eV per atom) = -0.470
- excess energy over the best structure of this formula in the dataset (meV per atom) = 8

Entry 5:
The following is a GGA-PBE calculation of a relaxed structure of Ti5Pd2Pt, from Alexandria via LeMat-Bulk.

Structure (POSCAR):
```
Ti5Pd2Pt
1.0
-3.235 3.235 6.420
3.235 -3.235 6.420
3.235 3.235 -6.420
Ti Pd Pt
10 4 2
Direct
0.000 0.000 0.000
0.005 0.505 0.186
0.182 0.995 0.500
0.318 0.818 0.814
0.495 0.682 0.500
0.500 0.500 0.000
0.505 0.318 0.500
0.682 0.182 0.186
0.818 0.005 0.500
0.995 0.495 0.814
0.142 0.358 0.500
0.358 0.858 0.216
0.642 0.142 0.784
0.858 0.642 0.500
0.250 0.250 0.000
0.750 0.750 0.000
```

- D(E_F) (states/eV per cell) = 23.72
- formation energy (eV per atom) = -0.443

Entry 6:
The following is a GGA-PBE calculation of a relaxed structure of Tb2Sm2Dy4Tm, from Alexandria via LeMat-Bulk.

Structure (POSCAR):
```
Tb2Sm2Dy4Tm
1.0
9.317 -1.795 0.000
9.317 1.795 0.000
-4.138 0.000 8.599
Tb Sm Dy Tm
2 2 4 1
Direct
0.147 0.147 0.164
0.853 0.853 0.836
0.335 0.335 0.501
0.665 0.665 0.499
0.185 0.185 0.834
0.481 0.481 0.167
0.519 0.519 0.833
0.815 0.815 0.166
0.000 0.000 0.500
```

- D(E_F) (states/eV per cell) = 11.83
- formation energy (eV per atom) = 0.000

Entry 7:
The following is a GGA-PBE calculation of a relaxed structure of Ac3PrIr2, from Alexandria via LeMat-Bulk.

Structure (POSCAR):
```
Ac3PrIr2
1.0
8.861 -2.239 0.000
8.861 2.239 0.000
-6.107 0.000 10.660
Ac Pr Ir
6 2 4
Direct
0.053 0.053 0.233
0.216 0.216 0.598
0.332 0.332 0.976
0.668 0.668 0.024
0.784 0.784 0.402
0.947 0.947 0.767
0.425 0.425 0.335
0.575 0.575 0.665
0.135 0.135 0.841
0.383 0.383 0.573
0.617 0.617 0.427
0.865 0.865 0.159
```

- D(E_F) (states/eV per cell) = 9.95
- formation energy (eV per atom) = -0.554

Entry 8:
The following is a GGA-PBE calculation of a relaxed structure of Pm2Sm4Dy3, from Alexandria via LeMat-Bulk.

Structure (POSCAR):
```
Pm2Sm4Dy3
1.0
6.236 0.000 0.000
-3.114 5.412 0.000
-0.010 -3.584 8.826
Pm Sm Dy
2 4 3
Direct
0.055 0.278 0.167
0.945 0.722 0.833
0.167 0.834 0.500
0.279 0.390 0.833
0.721 0.610 0.167
0.833 0.166 0.500
0.390 0.946 0.167
0.500 0.500 0.500
0.610 0.054 0.833
```

- D(E_F) (states/eV per cell) = 12.23
- formation energy (eV per atom) = 0.014
- excess energy over the best structure of this formula in the dataset (meV per atom) = 0

Entry 9:
The following is a GGA-PBE calculation of a relaxed structure of Ta2HgTe, from Alexandria via LeMat-Bulk.

Structure (POSCAR):
```
Ta2HgTe
1.0
1.809 -2.479 0.000
1.809 2.479 0.000
0.000 0.000 10.202
Ta Hg Te
2 1 1
Direct
0.000 0.000 0.000
0.500 0.500 0.203
0.500 0.500 0.773
0.000 0.000 0.421
```

- D(E_F) (states/eV per cell) = 2.12
- excess energy over the best structure of this formula in the dataset (meV per atom) = 39
- formation energy without anion corrections (meV per atom) = 222.8

Entry 10:
The following is a GGA-PBE calculation of a relaxed structure of KNiTe2, from Alexandria via LeMat-Bulk.

Structure (POSCAR):
```
KNiTe2
1.0
-4.015 4.015 3.747
4.015 -4.015 3.747
4.015 4.015 -3.747
K Ni Te
2 2 4
Direct
0.000 0.000 0.000
0.750 0.250 0.500
0.250 0.750 0.500
0.500 0.500 0.000
0.233 0.625 0.108
0.375 0.483 0.608
0.517 0.125 0.892
0.875 0.767 0.392
```

- D(E_F) (states/eV per cell) = 8.00
- formation energy without anion corrections (meV per atom) = -406.5

Entry 11:
The following is a GGA-PBE calculation of a relaxed structure of Na3Sm2PuS6, from Alexandria via LeMat-Bulk.

Structure (POSCAR):
```
Na3Sm2PuS6
1.0
3.530 -6.113 0.000
3.530 6.113 0.000
-2.352 0.000 6.665
Na Sm Pu S
3 2 1 6
Direct
0.000 0.000 0.000
0.333 0.667 0.000
0.667 0.333 0.000
0.167 0.833 0.500
0.833 0.167 0.500
0.500 0.500 0.500
0.092 0.423 0.270
0.246 0.246 0.730
0.423 0.092 0.270
0.577 0.908 0.730
0.754 0.754 0.270
0.908 0.577 0.730
```

- D(E_F) (states/eV per cell) = 11.88
- formation energy without anion corrections (meV per atom) = -1708.1

Entry 12:
The following is a GGA-PBE calculation of a relaxed structure of Tl2HgAs, from Alexandria via LeMat-Bulk.

Structure (POSCAR):
```
Tl2HgAs
1.0
-4.701 4.701 2.825
4.701 -4.701 2.825
4.701 4.701 -2.825
Tl Hg As
4 2 2
Direct
0.055 0.625 0.930
0.375 0.305 0.430
0.695 0.125 0.070
0.875 0.945 0.570
0.250 0.750 0.500
0.500 0.500 0.000
0.000 0.000 0.000
0.750 0.250 0.500
```

- D(E_F) (states/eV per cell) = 2.27
- formation energy (eV per atom) = 0.073
- excess energy over the best structure of this formula in the dataset (meV per atom) = 32

Entry 13:
The following is a GGA-PBE calculation of a relaxed structure of BePtSe, from Alexandria via LeMat-Bulk.

Structure (POSCAR):
```
BePtSe
1.0
2.897 0.000 0.000
1.448 4.005 0.000
1.157 1.163 8.821
Be Pt Se
2 2 2
Direct
0.000 0.000 0.000
0.319 0.454 0.883
0.617 0.925 0.801
0.704 0.526 0.083
0.903 0.983 0.264
0.945 0.409 0.628
```

- D(E_F) (states/eV per cell) = 2.63
- formation energy without anion corrections (meV per atom) = -404.9

Entry 14:
The following is a GGA-PBE calculation of a relaxed structure of TiNbFe4, from Alexandria via LeMat-Bulk.

Structure (POSCAR):
```
TiNbFe4
1.0
4.731 0.000 0.000
-2.366 4.098 0.000
0.000 0.000 7.828
Ti Nb Fe
2 2 8
Direct
0.333 0.667 0.060
0.667 0.333 0.940
0.333 0.667 0.429
0.667 0.333 0.571
0.000 0.000 0.000
0.000 0.000 0.500
0.171 0.341 0.752
0.171 0.829 0.752
0.341 0.171 0.248
0.659 0.829 0.752
0.829 0.171 0.248
0.829 0.659 0.248
```

- D(E_F) (states/eV per cell) = 12.96
- formation energy (eV per atom) = -0.202
- excess energy over the best structure of this formula in the dataset (meV per atom) = 14

Entry 15:
The following is a GGA-PBE calculation of a relaxed structure of AcTmGa2, from Alexandria via LeMat-Bulk.

Structure (POSCAR):
```
AcTmGa2
1.0
8.751 0.000 0.000
0.000 4.326 0.000
0.000 0.000 11.674
Ac Tm Ga
4 4 8
Direct
0.131 0.250 0.134
0.369 0.750 0.634
0.631 0.250 0.366
0.869 0.750 0.866
0.007 0.750 0.385
0.493 0.250 0.885
0.507 0.750 0.115
0.993 0.250 0.615
0.162 0.250 0.827
0.234 0.250 0.431
0.266 0.750 0.931
0.338 0.750 0.327
0.662 0.250 0.673
0.734 0.250 0.069
0.766 0.750 0.569
0.838 0.750 0.173
```

- D(E_F) (states/eV per cell) = 13.66
- formation energy (eV per atom) = -0.514

Entry 16:
The following is a GGA-PBE calculation of a relaxed structure of Ac2ZnGePt6, from Alexandria via LeMat-Bulk.

Structure (POSCAR):
```
Ac2ZnGePt6
1.0
2.922 1.687 7.492
-2.922 1.687 7.492
0.000 -3.374 7.492
Ac Zn Ge Pt
2 1 1 6
Direct
0.211 0.211 0.211
0.789 0.789 0.789
0.500 0.500 0.500
0.000 0.000 0.000
0.251 0.251 0.728
0.251 0.728 0.251
0.272 0.749 0.749
0.728 0.251 0.251
0.749 0.272 0.749
0.749 0.749 0.272
```

- D(E_F) (states/eV per cell) = 3.62
- formation energy (eV per atom) = -0.751

Entry 17:
The following is a GGA-PBE calculation of a relaxed structure of LaHo6, from Alexandria via LeMat-Bulk.

Structure (POSCAR):
```
LaHo6
1.0
-4.050 4.050 4.050
4.050 -4.050 4.050
4.050 4.050 -4.050
La Ho
1 6
Direct
0.000 0.000 0.000
0.250 0.500 0.750
0.250 0.750 0.500
0.500 0.250 0.750
0.500 0.750 0.250
0.750 0.250 0.500
0.750 0.500 0.250
```

- D(E_F) (states/eV per cell) = 9.19
- formation energy (eV per atom) = 1.366

Entry 18:
The following is a GGA-PBE calculation of a relaxed structure of Tb2Ni2Ge, from Alexandria via LeMat-Bulk.

Structure (POSCAR):
```
Tb2Ni2Ge
1.0
5.129 -2.043 0.000
5.129 2.043 0.000
-4.787 0.000 9.161
Tb Ni Ge
4 4 2
Direct
0.008 0.008 0.338
0.191 0.191 0.110
0.809 0.809 0.890
0.992 0.992 0.662
0.355 0.355 0.441
0.489 0.489 0.112
0.511 0.511 0.888
0.645 0.645 0.559
0.279 0.279 0.652
0.721 0.721 0.348
```

- D(E_F) (states/eV per cell) = 8.13
- formation energy (eV per atom) = -0.586

Entry 19:
The following is a GGA-PBE calculation of a relaxed structure of MoAsOs2, from Alexandria via LeMat-Bulk.

Structure (POSCAR):
```
MoAsOs2
1.0
2.913 0.000 0.000
0.000 4.525 0.000
0.000 0.000 4.551
Mo As Os
1 1 2
Direct
0.000 0.000 0.000
0.500 0.000 0.500
0.000 0.500 0.500
0.500 0.500 0.000
```

- D(E_F) (states/eV per cell) = 4.43
- formation energy (eV per atom) = 0.352

Entry 20:
The following is a GGA-PBE calculation of a relaxed structure of Ce4HoP5, from Alexandria via LeMat-Bulk.

Structure (POSCAR):
```
Ce4HoP5
1.0
-4.550 4.550 2.879
4.550 -4.550 2.879
4.550 4.550 -2.879
Ce Ho P
4 1 5
Direct
0.099 0.300 0.399
0.300 0.901 0.200
0.700 0.099 0.800
0.901 0.700 0.601
0.500 0.500 0.000
0.000 0.000 0.000
0.203 0.600 0.802
0.400 0.203 0.603
0.600 0.797 0.397
0.797 0.400 0.198
```

- D(E_F) (states/eV per cell) = 16.68
- formation energy (eV per atom) = -1.517

Entry 21:
The following is a GGA-PBE calculation of a relaxed structure of CdSi2WSe, from Alexandria via LeMat-Bulk.

Structure (POSCAR):
```
CdSi2WSe
1.0
4.849 0.000 0.000
0.000 4.849 0.000
0.000 0.000 5.225
Cd Si W Se
1 2 1 1
Direct
0.000 0.000 0.000
0.000 0.500 0.000
0.500 0.000 0.000
0.500 0.500 0.500
0.000 0.000 0.500
```

- D(E_F) (states/eV per cell) = 4.75
- formation energy without anion corrections (meV per atom) = 1931.2

Entry 22:
The following is a GGA-PBE calculation of a relaxed structure of LiPm2Eu, from Alexandria via LeMat-Bulk.

Structure (POSCAR):
```
LiPm2Eu
1.0
1.777 1.026 12.725
-1.777 1.026 12.725
0.000 -2.052 12.725
Li Pm Eu
1 2 1
Direct
0.000 0.000 0.000
0.086 0.086 0.086
0.914 0.914 0.914
0.500 0.500 0.500
```

- D(E_F) (states/eV per cell) = 5.25
- formation energy (eV per atom) = 0.249
- excess energy over the best structure of this formula in the dataset (meV per atom) = 131

Entry 23:
The following is a GGA-PBE calculation of a relaxed structure of ErSc5Tl2, from Alexandria via LeMat-Bulk.

Structure (POSCAR):
```
ErSc5Tl2
1.0
6.473 0.000 0.000
0.000 12.960 0.000
0.000 0.000 4.579
Er Sc Tl
2 10 4
Direct
0.000 0.000 0.000
0.500 0.500 0.000
0.000 0.500 0.000
0.001 0.253 0.000
0.246 0.628 0.500
0.254 0.128 0.500
0.499 0.753 0.000
0.500 0.000 0.000
0.501 0.247 0.000
0.746 0.872 0.500
0.754 0.372 0.500
0.999 0.747 0.000
0.248 0.373 0.500
0.252 0.873 0.500
0.748 0.127 0.500
0.752 0.627 0.500
```

- D(E_F) (states/eV per cell) = 18.80
- formation energy (eV per atom) = -0.189
- excess energy over the best structure of this formula in the dataset (meV per atom) = 0

Entry 24:
The following is a GGA-PBE calculation of a relaxed structure of Sc2HPt, from Alexandria via LeMat-Bulk.

Structure (POSCAR):
```
Sc2HPt
1.0
1.997 1.153 6.468
-1.997 1.153 6.468
0.000 -2.306 6.468
Sc H Pt
2 1 1
Direct
0.099 0.099 0.099
0.901 0.901 0.901
0.000 0.000 0.000
0.500 0.500 0.500
```

- D(E_F) (states/eV per cell) = 3.99
- excess energy over the best structure of this formula in the dataset (meV per atom) = 197